Here is an optimized crystal structure of ScAsP2 from Alexandria via LeMat-Bulk. Energies are from PBE.

Calculated volume ... 132.5 Å³/cell
DOS at the Fermi energy ... 1.64 states/eV/f.u.
Formation energy from the elements ... -39.0 kJ per mole of atoms

Lattice parameters (Å, degrees): 3.4215 4.6520 8.3239 90.00 90.00 90.00
Space group Imm2 (No. 44)
Unique sites:
1 Sc 0.0000 0.0000 0.0000 (multiplicity 2)
2 As 0.0000 0.5000 0.7882 (multiplicity 2)
3 P 0.0000 0.0000 0.5129 (multiplicity 2)
4 P 0.0000 0.5000 0.2116 (multiplicity 2)